{"formula": "TlCd2Se", "functional": "PBE", "state": "relaxed", "raw_formation_energy_ev_per_atom": -0.055, "spacegroup": "No. 12", "polymorph_energy_mev_per_atom": 113, "magnetic_moment_mub_per_cell": 0.0, "lattice": [[-4.336, -3.540, -2.215], [3.825, -0.148, -2.603], [0.744, -4.427, 1.023]], "species": ["Cd", "Cd", "Se", "Tl"], "frac_coords": [[0.000, 0.000, 0.000], [0.000, 0.500, 0.500], [0.500, 0.500, 0.000], [0.500, 0.000, 0.500]]}